Compound: Tb2Ga3Pt5
Source: the Alexandria database
Functional: GGA-PBE
Structure: relaxed

Values from the calculation:
Formation enthalpy at 0 K   -9.4 eV per formula unit
Symmetry   Ibam (72)
E   -116.0 eV per cell
Density of states at the Fermi level   0.3597 states/eV/atom
Total magnetization   0.000 μB per atom
Energy above the lowest structure with this stoichiometry   0.15 eV/f.u.

abc: 8.5706 8.5706 8.5706
angles: 97.69 95.08 141.04
Positions (direct):
Tb 0.1362 0.2255 0.3618
Tb 0.3638 0.7255 0.0893
Tb 0.6362 0.2745 0.9107
Tb 0.8638 0.7745 0.6382
Ga 0.1384 0.8840 0.0223
Ga 0.2500 0.7500 0.5000
Ga 0.3616 0.3840 0.7456
Ga 0.6384 0.6160 0.2544
Ga 0.7500 0.2500 0.5000
Ga 0.8616 0.1160 0.9777
Pt 0.0252 0.7500 0.2752
Pt 0.0972 0.6719 0.7691
Pt 0.2500 0.2500 0.0000
Pt 0.4028 0.1719 0.5747
Pt 0.4748 0.7500 0.7248
Pt 0.5252 0.2500 0.2752
Pt 0.5972 0.8281 0.4253
Pt 0.7500 0.7500 0.0000
Pt 0.9028 0.3281 0.2309
Pt 0.9748 0.2500 0.7248


Compound: Be2PtF
Source: the Alexandria database
Functional: GGA-PBE
Structure: relaxed

Values from the calculation:
Formation energy from raw total energies   -5.03 eV/f.u.
Symmetry   P1 (1)
E   -40.8 eV per cell
Density of states at the Fermi level   0.2157 states/eV/atom
Total magnetization   0.000 μB per atom
Energy above the lowest structure with this stoichiometry   0.80 eV/f.u.

abc: 3.5105 4.4450 7.2887
angles: 81.12 76.18 66.93
Positions (direct):
Be 0.0000 0.0000 0.0000
Be 0.0013 0.7126 0.2747
Be 0.3936 0.3609 0.8479
Be 0.7498 0.8046 0.6930
Pt 0.3391 0.1392 0.1825
Pt 0.7114 0.5876 0.9891
F 0.5788 0.1813 0.6572
F 0.9165 0.6670 0.4975


Compound: Pr2PbI3
Source: the Alexandria database
Functional: GGA-PBE
Structure: relaxed

Values from the calculation:
Formation energy from raw total energies   -6.11 eV/f.u.
Symmetry   C2/m (12)
E   -48.0 eV per cell
Density of states at the Fermi level   0.1448 states/eV/atom
Total magnetization   0.000 μB per atom

abc: 10.5877 10.5877 14.5143
angles: 127.87 127.87 23.33
Positions (direct):
Pr 0.1080 0.1080 0.4245
Pr 0.3727 0.3727 0.1659
Pr 0.6273 0.6273 0.8341
Pr 0.8920 0.8920 0.5755
Pb 0.0718 0.0718 0.6289
Pb 0.9282 0.9282 0.3711
I 0.1763 0.1763 0.0379
I 0.2579 0.2579 0.3870
I 0.4537 0.4537 0.7846
I 0.5463 0.5463 0.2154
I 0.7421 0.7421 0.6130
I 0.8237 0.8237 0.9621


Compound: SrMg4As
Source: the Alexandria database
Functional: GGA-PBE
Structure: relaxed

Values from the calculation:
Formation enthalpy at 0 K   0.1 eV per formula unit
Symmetry   F-43m (216)
E   -12.6 eV per cell
Density of states at the Fermi level   0.5627 states/eV/atom
Total magnetization   0.000 μB per atom

abc: 6.0665 6.0665 6.0665
angles: 60.00 60.00 60.00
Positions (direct):
Sr 0.0000 0.0000 0.0000
Mg 0.3763 0.3763 0.3763
Mg 0.3763 0.3763 0.8711
Mg 0.3763 0.8711 0.3763
Mg 0.8711 0.3763 0.3763
As 0.7500 0.7500 0.7500


Compound: SrSmP2
Source: the Alexandria database
Functional: GGA-PBE
Structure: relaxed

Values from the calculation:
Formation enthalpy at 0 K   -4.3 eV per formula unit
Symmetry   R3m (160)
E   -21.5 eV per cell
Density of states at the Fermi level   0.7677 states/eV/atom
Total magnetization   0.000 μB per atom
Energy above the lowest structure with this stoichiometry   0.30 eV/f.u.

abc: 7.7192 7.7192 7.7192
angles: 31.17 31.17 31.17
Positions (direct):
Sr 0.0000 0.0000 0.0000
Sm 0.1724 0.1724 0.1724
P 0.5786 0.5786 0.5786
P 0.7618 0.7618 0.7618


Compound: CuAgF4
Source: the Alexandria database
Functional: GGA-PBE
Structure: relaxed

Values from the calculation:
Formation energy from raw total energies   -7.86 eV/f.u.
Symmetry   C2/c (15)
E   -44.6 eV per cell
Density of states at the Fermi level   0.2972 states/eV/atom
Total magnetization   0.000 μB per atom

abc: 6.3371 6.3371 5.5308
angles: 110.42 110.42 112.41
Positions (direct):
Cu 0.1083 0.8917 0.7500
Cu 0.8917 0.1083 0.2500
Ag 0.3661 0.6339 0.2500
Ag 0.6339 0.3661 0.7500
F 0.0761 0.6208 0.8181
F 0.2060 0.2267 0.8037
F 0.2267 0.2060 0.3037
F 0.3792 0.9239 0.6819
F 0.6208 0.0761 0.3181
F 0.7733 0.7940 0.6963
F 0.7940 0.7733 0.1963
F 0.9239 0.3792 0.1819